(1)
Crystalline Ba3BH at its relaxed geometry, computed with PBEsol.

The structure in POSCAR format:
```
Ba3BH
1.0
5.867 0.000 0.000
0.000 5.867 0.000
0.000 0.000 5.867
Ba B H
3 1 1
Direct
0.000 0.000 0.500
0.000 0.500 0.000
0.500 0.000 0.000
0.000 0.000 0.000
0.500 0.500 0.500
```

Values from the calculation:
For the density of states at the Fermi level, the calculation gives 5.93 states/eV/f.u. Its energy is -2.713 eV per atom.


(2)
Crystalline Ba2B11H7O22 at its relaxed geometry, computed with PBEsol.

The structure in POSCAR format:
```
Ba2B11H7O22
1.0
6.815 0.000 0.000
3.401 5.927 0.000
2.655 0.614 21.083
Ba B H O
4 22 14 44
Direct
0.157 0.143 0.059
0.306 0.347 0.553
0.694 0.653 0.447
0.843 0.857 0.941
0.068 0.150 0.215
0.125 0.141 0.421
0.190 0.936 0.574
0.199 0.193 0.909
0.204 0.750 0.403
0.246 0.624 0.076
0.335 0.540 0.302
0.338 0.018 0.804
0.363 0.450 0.929
0.388 0.328 0.404
0.441 0.770 0.902
0.559 0.230 0.098
0.612 0.672 0.596
0.637 0.550 0.071
0.662 0.982 0.196
0.665 0.460 0.698
0.754 0.376 0.924
0.796 0.250 0.597
0.801 0.807 0.091
0.810 0.064 0.426
0.875 0.859 0.579
0.932 0.850 0.785
0.095 0.500 0.812
0.108 0.998 0.300
0.138 0.575 0.693
0.249 0.803 0.205
0.269 0.297 0.705
0.437 0.411 0.212
0.437 0.903 0.714
0.563 0.097 0.286
0.563 0.589 0.788
0.731 0.703 0.295
0.751 0.197 0.795
0.862 0.425 0.307
0.892 0.002 0.700
0.905 0.500 0.188
0.016 0.661 0.823
0.028 0.788 0.068
0.038 0.162 0.572
0.039 0.155 0.280
0.110 0.784 0.577
0.180 0.305 0.426
0.183 0.956 0.182
0.204 0.381 0.937
0.217 0.740 0.333
0.225 0.211 0.839
0.245 0.425 0.674
0.274 0.916 0.416
0.290 0.676 0.926
0.323 0.400 0.084
0.351 0.043 0.739
0.352 0.533 0.431
0.356 0.555 0.237
0.375 0.978 0.933
0.406 0.700 0.071
0.416 0.872 0.569
0.421 0.333 0.334
0.438 0.806 0.833
0.562 0.194 0.167
0.579 0.667 0.666
0.584 0.128 0.431
0.594 0.300 0.929
0.625 0.022 0.067
0.644 0.445 0.763
0.648 0.467 0.569
0.649 0.957 0.261
0.677 0.600 0.916
0.710 0.324 0.074
0.726 0.084 0.584
0.755 0.575 0.326
0.775 0.789 0.161
0.783 0.260 0.667
0.796 0.619 0.063
0.817 0.044 0.818
0.820 0.695 0.574
0.890 0.216 0.423
0.961 0.845 0.720
0.962 0.838 0.428
0.972 0.212 0.932
0.984 0.339 0.177
```

Values from the calculation:
For the density of states at the Fermi level, the calculation gives 0.00 states/eV/f.u. Its energy is -7.472 eV per atom.


(3)
Crystalline Ba2HfB2 at its relaxed geometry, computed with PBEsol.

The structure in POSCAR format:
```
Ba2HfB2
1.0
-2.482 2.482 5.323
2.482 -2.482 5.323
2.482 2.482 -5.323
Ba Hf B
2 1 2
Direct
0.143 0.143 0.000
0.857 0.857 0.000
0.500 0.500 0.000
0.250 0.750 0.500
0.750 0.250 0.500
```

Values from the calculation:
For the density of states at the Fermi level, the calculation gives 6.25 states/eV/f.u. Its energy is -4.059 eV per atom. The formation energy is 1.708 eV/atom.


(4)
Crystalline BaHgB3 at its relaxed geometry, computed with PBEsol.

The structure in POSCAR format:
```
BaHgB3
1.0
5.033 0.000 0.000
0.000 5.033 0.000
0.000 0.000 5.033
Ba Hg B
1 1 3
Direct
0.000 0.000 0.000
0.500 0.500 0.500
0.000 0.000 0.500
0.000 0.500 0.000
0.500 0.000 0.000
```

Values from the calculation:
For the density of states at the Fermi level, the calculation gives 4.32 states/eV/f.u. Its energy is -1.921 eV per atom. The formation energy is 2.832 eV/atom.


(5)
Crystalline Ba3HoB3O9 at its relaxed geometry, computed with PBEsol.

The structure in POSCAR format:
```
Ba3HoB3O9
1.0
9.405 0.000 0.000
-4.703 8.145 0.000
0.000 0.000 17.484
Ba Ho B O
18 6 18 54
Direct
0.000 0.000 0.151
0.000 0.000 0.651
0.000 0.320 0.000
0.000 0.346 0.240
0.000 0.654 0.740
0.000 0.680 0.500
0.320 0.000 0.000
0.320 0.320 0.500
0.333 0.667 0.094
0.333 0.667 0.594
0.346 0.000 0.240
0.346 0.346 0.740
0.654 0.000 0.740
0.654 0.654 0.240
0.667 0.333 0.094
0.667 0.333 0.594
0.680 0.000 0.500
0.680 0.680 0.000
0.000 0.000 0.368
0.000 0.000 0.868
0.333 0.667 0.373
0.333 0.667 0.873
0.667 0.333 0.373
0.667 0.333 0.873
0.000 0.326 0.795
0.000 0.333 0.621
0.000 0.341 0.450
0.000 0.659 0.950
0.000 0.667 0.121
0.000 0.674 0.295
0.326 0.000 0.795
0.326 0.326 0.295
0.333 0.000 0.621
0.333 0.333 0.121
0.341 0.000 0.450
0.341 0.341 0.950
0.659 0.000 0.950
0.659 0.659 0.450
0.667 0.000 0.121
0.667 0.667 0.621
0.674 0.000 0.295
0.674 0.674 0.795
0.000 0.180 0.785
0.000 0.194 0.440
0.000 0.481 0.621
0.000 0.519 0.121
0.000 0.806 0.940
0.000 0.820 0.285
0.147 0.473 0.800
0.147 0.674 0.300
0.148 0.333 0.620
0.148 0.487 0.455
0.148 0.661 0.955
0.148 0.815 0.120
0.180 0.000 0.785
0.180 0.180 0.285
0.185 0.333 0.120
0.185 0.852 0.620
0.194 0.000 0.440
0.194 0.194 0.940
0.326 0.473 0.300
0.326 0.853 0.800
0.333 0.148 0.620
0.333 0.185 0.120
0.339 0.487 0.955
0.339 0.852 0.455
0.473 0.147 0.800
0.473 0.326 0.300
0.481 0.000 0.621
0.481 0.481 0.121
0.487 0.148 0.455
0.487 0.339 0.955
0.513 0.661 0.455
0.513 0.852 0.955
0.519 0.000 0.121
0.519 0.519 0.621
0.527 0.674 0.800
0.527 0.853 0.300
0.661 0.148 0.955
0.661 0.513 0.455
0.667 0.815 0.620
0.667 0.852 0.120
0.674 0.147 0.300
0.674 0.527 0.800
0.806 0.000 0.940
0.806 0.806 0.440
0.815 0.148 0.120
0.815 0.667 0.620
0.820 0.000 0.285
0.820 0.820 0.785
0.852 0.185 0.620
0.852 0.339 0.455
0.852 0.513 0.955
0.852 0.667 0.120
0.853 0.326 0.800
0.853 0.527 0.300
```

Values from the calculation:
For the density of states at the Fermi level, the calculation gives 0.00 states/eV/f.u. Its energy is -7.922 eV per atom.


(6)
Crystalline Ba3HoB9O18 at its relaxed geometry, computed with PBEsol.

The structure in POSCAR format:
```
Ba3HoB9O18
1.0
7.203 0.000 0.000
-3.601 6.238 0.000
0.000 0.000 16.661
Ba Ho B O
6 2 18 36
Direct
0.000 0.000 0.250
0.000 0.000 0.750
0.333 0.667 0.129
0.333 0.667 0.371
0.667 0.333 0.629
0.667 0.333 0.871
0.000 0.000 0.000
0.000 0.000 0.500
0.115 0.621 0.750
0.164 0.448 0.583
0.164 0.448 0.917
0.284 0.836 0.583
0.284 0.836 0.917
0.379 0.495 0.750
0.448 0.284 0.083
0.448 0.284 0.417
0.495 0.115 0.250
0.505 0.885 0.750
0.552 0.716 0.583
0.552 0.716 0.917
0.621 0.505 0.250
0.716 0.164 0.083
0.716 0.164 0.417
0.836 0.552 0.083
0.836 0.552 0.417
0.885 0.379 0.250
0.003 0.246 0.583
0.003 0.246 0.917
0.084 0.415 0.250
0.122 0.619 0.582
0.122 0.619 0.918
0.167 0.456 0.750
0.244 0.997 0.583
0.244 0.997 0.917
0.246 0.244 0.083
0.246 0.244 0.417
0.290 0.833 0.750
0.331 0.916 0.250
0.381 0.503 0.582
0.381 0.503 0.918
0.415 0.331 0.750
0.456 0.290 0.250
0.497 0.878 0.582
0.497 0.878 0.918
0.503 0.122 0.082
0.503 0.122 0.418
0.544 0.710 0.750
0.585 0.669 0.250
0.619 0.497 0.082
0.619 0.497 0.418
0.669 0.084 0.750
0.710 0.167 0.250
0.754 0.756 0.583
0.754 0.756 0.917
0.756 0.003 0.083
0.756 0.003 0.417
0.833 0.544 0.250
0.878 0.381 0.082
0.878 0.381 0.418
0.916 0.585 0.750
0.997 0.754 0.083
0.997 0.754 0.417
```

Values from the calculation:
For the density of states at the Fermi level, the calculation gives 0.00 states/eV/f.u. Its energy is -8.187 eV per atom.


(7)
Crystalline Ba3BI at its relaxed geometry, computed with PBEsol.

The structure in POSCAR format:
```
Ba3BI
1.0
5.893 0.000 0.000
0.000 5.893 0.000
0.000 0.000 5.893
Ba B I
3 1 1
Direct
0.000 0.000 0.500
0.000 0.500 0.000
0.500 0.000 0.000
0.000 0.000 0.000
0.500 0.500 0.500
```

Values from the calculation:
For the density of states at the Fermi level, the calculation gives 6.17 states/eV/f.u. Its energy is -3.105 eV per atom.


(8)
Crystalline BaBI2N at its relaxed geometry, computed with PBEsol.

The structure in POSCAR format:
```
BaBI2N
1.0
6.654 0.000 0.000
0.000 6.654 0.000
0.000 0.000 5.286
Ba B I N
1 1 2 1
Direct
0.000 0.000 0.000
0.500 0.500 0.500
0.000 0.500 0.000
0.500 0.000 0.000
0.000 0.000 0.500
```

Values from the calculation:
For the density of states at the Fermi level, the calculation gives 3.74 states/eV/f.u. Its energy is -3.002 eV per atom.